# 1
A geometry-optimized Dy2MoO6 structure. Source: the Alexandria database, functional GGA-PBEsol.

Formation energy without anion corrections (eV per atom): -3.012
E_tot (eV for the cell shown): -321.3
Space-group type: C2/c

Lattice parameters (Å, degrees): 9.7802 9.7802 5.3100 104.89 104.89 68.03
Positions (direct):
Dy (0.0518, 0.2850, 0.8795)
Dy (0.1077, 0.8923, 0.7500)
Dy (0.2850, 0.0518, 0.3795)
Dy (0.3649, 0.6351, 0.2500)
Dy (0.6351, 0.3649, 0.7500)
Dy (0.7150, 0.9482, 0.6205)
Dy (0.8923, 0.1077, 0.2500)
Dy (0.9482, 0.7150, 0.1205)
Mo (0.2035, 0.4879, 0.5632)
Mo (0.4879, 0.2035, 0.0632)
Mo (0.5121, 0.7965, 0.9368)
Mo (0.7965, 0.5121, 0.4368)
O (0.0664, 0.4747, 0.2598)
O (0.0742, 0.1086, 0.0787)
O (0.1086, 0.0742, 0.5787)
O (0.1628, 0.6908, 0.4178)
O (0.1736, 0.6163, 0.8731)
O (0.2127, 0.3160, 0.6400)
O (0.3092, 0.8372, 0.0822)
O (0.3160, 0.2127, 0.1400)
O (0.3837, 0.8264, 0.6269)
O (0.3888, 0.4514, 0.5152)
O (0.4514, 0.3888, 0.0152)
O (0.4747, 0.0664, 0.7598)
O (0.5253, 0.9336, 0.2402)
O (0.5486, 0.6112, 0.9848)
O (0.6112, 0.5486, 0.4848)
O (0.6163, 0.1736, 0.3731)
O (0.6840, 0.7873, 0.8600)
O (0.6908, 0.1628, 0.9178)
O (0.7873, 0.6840, 0.3600)
O (0.8264, 0.3837, 0.1269)
O (0.8372, 0.3092, 0.5822)
O (0.8914, 0.9258, 0.4213)
O (0.9258, 0.8914, 0.9213)
O (0.9336, 0.5253, 0.7402)

---

# 2
A geometry-optimized Ni5SnB2O10 structure. Source: the Alexandria database, functional GGA-PBEsol.

Formation energy without anion corrections (eV per atom): -1.264
E_tot (eV for the cell shown): -497.3
Space-group type: Pnma

Lattice parameters (Å, degrees): 9.2115 6.0862 12.1997 90.00 90.00 90.00
Positions (direct):
Ni (0.0000, 0.0000, 0.0000)
Ni (0.0000, 0.5000, 0.0000)
Ni (0.0043, 0.0060, 0.2819)
Ni (0.0043, 0.4940, 0.2819)
Ni (0.0097, 0.7500, 0.5014)
Ni (0.2415, 0.2500, 0.1125)
Ni (0.2585, 0.7500, 0.6125)
Ni (0.4903, 0.2500, 0.0014)
Ni (0.4957, 0.5060, 0.7819)
Ni (0.4957, 0.9940, 0.7819)
Ni (0.5000, 0.0000, 0.5000)
Ni (0.5000, 0.5000, 0.5000)
Ni (0.5043, 0.0060, 0.2181)
Ni (0.5043, 0.4940, 0.2181)
Ni (0.5097, 0.7500, 0.9986)
Ni (0.7415, 0.2500, 0.3875)
Ni (0.7585, 0.7500, 0.8875)
Ni (0.9903, 0.2500, 0.4986)
Ni (0.9957, 0.5060, 0.7181)
Ni (0.9957, 0.9940, 0.7181)
Sn (0.2416, 0.7500, 0.1163)
Sn (0.2584, 0.2500, 0.6163)
Sn (0.7416, 0.7500, 0.3837)
Sn (0.7584, 0.2500, 0.8837)
B (0.2207, 0.2500, 0.8641)
B (0.2260, 0.7500, 0.8566)
B (0.2740, 0.2500, 0.3566)
B (0.2793, 0.7500, 0.3641)
B (0.7207, 0.2500, 0.6359)
B (0.7260, 0.7500, 0.6434)
B (0.7740, 0.2500, 0.1434)
B (0.7793, 0.7500, 0.1359)
O (0.1052, 0.0051, 0.1430)
O (0.1052, 0.4949, 0.1430)
O (0.1065, 0.0090, 0.5781)
O (0.1065, 0.4910, 0.5781)
O (0.1237, 0.2500, 0.3591)
O (0.1298, 0.7500, 0.3586)
O (0.1415, 0.2500, 0.7659)
O (0.1453, 0.2500, 0.9615)
O (0.1478, 0.7500, 0.9556)
O (0.1498, 0.7500, 0.7594)
O (0.3502, 0.2500, 0.2594)
O (0.3522, 0.2500, 0.4556)
O (0.3547, 0.7500, 0.4615)
O (0.3585, 0.7500, 0.2659)
O (0.3702, 0.2500, 0.8586)
O (0.3763, 0.7500, 0.8591)
O (0.3935, 0.5090, 0.0781)
O (0.3935, 0.9910, 0.0781)
O (0.3948, 0.5051, 0.6430)
O (0.3948, 0.9949, 0.6430)
O (0.6052, 0.0051, 0.3570)
O (0.6052, 0.4949, 0.3570)
O (0.6065, 0.0090, 0.9219)
O (0.6065, 0.4910, 0.9219)
O (0.6237, 0.2500, 0.1409)
O (0.6298, 0.7500, 0.1414)
O (0.6415, 0.2500, 0.7341)
O (0.6453, 0.2500, 0.5385)
O (0.6478, 0.7500, 0.5444)
O (0.6498, 0.7500, 0.7406)
O (0.8502, 0.2500, 0.2406)
O (0.8522, 0.2500, 0.0444)
O (0.8547, 0.7500, 0.0385)
O (0.8585, 0.7500, 0.2341)
O (0.8702, 0.2500, 0.6414)
O (0.8763, 0.7500, 0.6409)
O (0.8935, 0.5090, 0.4219)
O (0.8935, 0.9910, 0.4219)
O (0.8948, 0.5051, 0.8570)
O (0.8948, 0.9949, 0.8570)

---

Which value of E_tot does entry 2 give? -497.3 eV for the cell shown

---

The lowest E_tot belongs to which entry? Ni5SnB2O10

---

Which of these has the lowest formation energy without anion corrections? Dy2MoO6